First-principles (PBE) data for crystalline TlRe2Ni at its relaxed geometry, as listed in the Alexandria database.

Computed properties:
The magnetic moment comes out at 0.00 μB per formula unit. The energy is -30.97 eV for the cell shown. The value obtained for the relative energy among the computed polymorphs is 0 meV/atom. The calculation puts the formation energy at 519 meV/atom.

abc: 2.8853 3.8246 5.8500
angles: 90.00 90.00 90.00
Space group Pmm2 (No. 25)
Symmetry-distinct sites (fractional):
Tl  0.0000  0.0000  0.0000
Re  0.0000  0.0000  0.4915
Re  0.5000  0.5000  0.6790
Ni  0.5000  0.5000  0.2444

First-principles (PBE) data for crystalline Pb2Au2Cl at its relaxed geometry, as listed in the Alexandria database.

Computed properties:
The magnetic moment comes out at 0.00 μB per formula unit. The energy is -33.32 eV for the cell shown. Its formation energy (no corrections) is -168.4 meV/atom. The value obtained for the relative energy among the computed polymorphs is 87 meV/atom.

abc: 8.3972 8.3972 3.6106
angles: 90.00 90.00 90.00
Space group P4/mbm (No. 127)
Symmetry-distinct sites (fractional):
Pb  0.1819  0.3181  0.0000
Au  0.1191  0.6191  0.5000
Cl  0.0000  0.0000  0.5000

First-principles (PBE) data for crystalline Tb12Co5Bi at its relaxed geometry, as listed in the Alexandria database.

Computed properties:
The magnetic moment comes out at 0.00 μB per formula unit. The energy is -199.59 eV for the cell shown. The calculation puts the formation energy at -268 meV/atom.

abc: 9.4782 9.5437 9.9316
angles: 90.00 90.00 90.00
Space group Immm (No. 71)
Symmetry-distinct sites (fractional):
Tb  0.0000  0.1936  0.2025
Tb  0.1912  0.5000  0.1885
Tb  0.2080  0.3159  0.5000
Co  0.0000  0.0000  0.0000
Co  0.0000  0.3791  0.0000
Co  0.0000  0.5000  0.3886
Bi  0.0000  0.0000  0.5000